Material: HfBe2Pd2
Method: DFT, GGA-PBE
State: relaxed

Computed properties:
- volume (Å³ per atom) = 13.517
- total moment (μB per atom) = 0.000
- excess energy over the best structure of this formula in the dataset (meV per atom) = 0.0
- space group = P4/mbm
- D(E_F) (states/eV per cell) = 6.53

a = 6.966 Å, b = 6.966 Å, c = 2.785 Å
α = 90.00°, β = 90.00°, γ = 90.00°
Fractional coordinates of all 10 atoms:
1 Be 0.386 0.886 0.000
2 Be 0.886 0.614 0.000
3 Be 0.614 0.114 0.000
4 Be 0.114 0.386 0.000
5 Hf 0.000 0.000 0.000
6 Hf 0.500 0.500 0.000
7 Pd 0.177 0.677 0.500
8 Pd 0.677 0.823 0.500
9 Pd 0.823 0.323 0.500
10 Pd 0.323 0.177 0.500